Below is MgNi3Au at its PBEsol-relaxed geometry, with properties calculated at the meta-GGA SCAN level.

The structure belongs to space group Pm-3m (No. 221); the cell edges are 4.587, 4.587 and 4.587 Å and the angles 90.00°, 90.00° and 90.00°. The asymmetric unit holds Mg at (0.000, 0.000, 0.000), Ni at (0.000, 0.500, 0.500) and Au at (0.500, 0.500, 0.500).

For the total DFT energy (no corrections), the calculation gives -1.7296 Ry per atom. The calculation puts the formation energy at 0.997 eV per atom. The density is 6.84 g cm⁻³.